# 1
Compound: K3Tb2ScS6
Source: the Alexandria database
Functional: GGA-PBE
Structure: optimized geometry

Structure (extended XYZ):
```
12
Lattice="6.9229 -0.0014 -0.0007 -3.4610 5.9957 -0.0007 -1.1553 -2.0005 7.3521" Properties=species:S:1:pos:R:3 pbc="T T T"
S 2.3536 4.0752 1.4616
Tb 0.0023 3.9956 -0.0007
K -2.2911 3.9862 3.6754
K 4.5977 0.0077 3.6754
K 1.1533 1.9969 3.6754
S -0.0469 -0.0813 5.8891
Tb 3.4597 1.9988 -0.0007
S 2.2178 -0.0009 1.4611
S 3.4158 2.0733 5.8896
Sc 0.0000 0.0000 0.0000
S 0.0888 3.9948 5.8896
S -1.1092 1.9205 1.4611
```

Computed properties:
Space-group type: C2/m (12)
Calculated total energy, eV for the cell shown: -65.69
Total magnetic moment, μB/cell: 0.00
ΔE_f (raw), eV/atom: -1.836

# 2
Compound: K2TbScS4
Source: the Alexandria database
Functional: GGA-PBE
Structure: optimized geometry

Structure (extended XYZ):
```
8
Lattice="3.9625 0.0000 0.0000 0.0000 6.8553 0.1130 0.0000 -2.4065 7.2972" Properties=species:S:1:pos:R:3 pbc="T T T"
K 1.9812 -1.2032 3.6486
Sc 0.0000 0.0000 0.0000
K 0.0000 2.2244 3.7051
S 0.0000 4.6304 1.5431
Tb 1.9812 3.4277 0.0565
S 1.9812 1.0405 1.4446
S 1.9812 3.4083 5.9656
S 0.0000 -0.1815 5.8671
```

Computed properties:
Space-group type: P2/m (10)
Calculated total energy, eV for the cell shown: -44.15
Total magnetic moment, μB/cell: 0.00
ΔE_f (raw), eV/atom: -1.810

Q: Which formula does entry 1 have?
A: K3Tb2ScS6